This record from OQMD describes an optimized crystal structure of NdLuAg2Sn2. The functional is PBE-GGA.

Output
E_tot in eV per cell: -26.41
Space group: P3m1

a = 4.7411 Å, b = 4.7411 Å, c = 7.4197 Å
α = 90.00°, β = 90.00°, γ = 120.00°
Fractional coordinates of all 6 atoms:
Sn (0.6667, 0.3333, 0.0438)
Sn (0.3333, 0.6667, 0.5311)
Ag (0.6667, 0.3333, 0.4400)
Ag (0.3333, 0.6667, 0.9668)
Lu (0.0000, 0.0000, 0.2602)
Nd (0.0000, 0.0000, 0.7581)



This record from OQMD describes an optimized crystal structure of CuPd3Se5. The functional is PBE-GGA.

Output
E_tot in eV per cell: -35.22
Space group: P6/mmm

a = 5.9485 Å, b = 5.9485 Å, c = 6.6895 Å
α = 90.00°, β = 90.00°, γ = 120.00°
Fractional coordinates of all 9 atoms:
Pd (0.0000, 0.5000, 0.5000)
Pd (0.5000, 0.0000, 0.5000)
Pd (0.5000, 0.5000, 0.5000)
Se (0.3333, 0.6667, 0.2259)
Se (0.6667, 0.3333, 0.7741)
Se (0.6667, 0.3333, 0.2259)
Se (0.0000, 0.0000, 0.5000)
Se (0.3333, 0.6667, 0.7741)
Cu (0.0000, 0.0000, 0.0000)



This record from OQMD describes an optimized crystal structure of NaDyNiS3. The functional is PBE-GGA.

Output
E_tot in eV per cell: -61.34
Space group: C2/m

a = 8.1410 Å, b = 8.1410 Å, c = 7.9294 Å
α = 104.21°, β = 104.21°, γ = 27.94°
Last column: magnetic moment on the atom in μB.
Fractional coordinates of all 12 atoms:
Na (0.8712, 0.8712, 0.9293)  0.00
Na (0.1288, 0.1288, 0.0707)  0.00
S (0.0000, 0.0000, 0.5000)  0.02
S (0.3464, 0.3464, 0.6460)  0.00
S (0.6536, 0.6536, 0.3540)  0.00
S (0.5000, 0.5000, 0.0000)  0.00
S (0.6522, 0.6522, 0.8193)  0.00
S (0.3478, 0.3478, 0.1807)  0.00
Dy (0.1708, 0.1708, 0.6045)  0.00
Dy (0.8292, 0.8292, 0.3955)  0.00
Ni (0.4977, 0.4977, 0.2978)  0.10
Ni (0.5023, 0.5023, 0.7022)  0.10



This record from OQMD describes an optimized crystal structure of PaBePt. The functional is PBE-GGA.

Output
Polymorph energy (0 for the lowest one) in kJ/mol of formula units: 131
Space group: F-43m

a = 4.5055 Å, b = 4.5055 Å, c = 4.5055 Å
α = 60.00°, β = 60.00°, γ = 60.00°
Fractional coordinates of all 3 atoms:
Pa (0.7500, 0.7500, 0.7500)
Be (0.2500, 0.2500, 0.2500)
Pt (0.0000, 0.0000, 0.0000)